CoPOsO | PBE+U | relaxed

**Symmetry**: P4/nmm
**Total magnetic moment**: 4.92 Bohr magnetons per cell
**Uncorrected energy**: -7.0914 eV/atom

abc: 3.905 3.905 8.098
angles: 90.00 90.00 90.00
Positions (direct):
Co 0.250 0.250 0.056
Co 0.750 0.750 0.944
P 0.250 0.250 0.342
P 0.750 0.750 0.658
Os 0.250 0.750 0.500
Os 0.750 0.250 0.500
O 0.250 0.750 0.000
O 0.750 0.250 0.000